{
  "formula": "Li7TlAu4",
  "functional": "GGA-PBE",
  "state": "relaxed",
  "lattice": [[4.8791, 0.0000, 0.0000], [2.4396, 6.9133, 0.8199], [2.4396, 0.9178, 6.4547]],
  "species": ["Li", "Li", "Li", "Li", "Li", "Li", "Li", "Au", "Au", "Au", "Au", "Tl"],
  "fractional_positions": [[0.5000, 0.0000, 0.0000], [0.9331, 0.4073, 0.7264], [0.2181, 0.1171, 0.4467], [0.7819, 0.8829, 0.5533], [0.0669, 0.5927, 0.2736], [0.2640, 0.6929, 0.7792], [0.7360, 0.3071, 0.2208], [0.5562, 0.2725, 0.6151], [0.4438, 0.7275, 0.3849], [0.6915, 0.6506, 0.9665], [0.3085, 0.3494, 0.0335], [0.0000, 0.0000, 0.0000]],
  "rho_g_cm3": 8.075,
  "formation_energy_ev_per_fu": -4.0,
  "energy_ev_per_atom": -2.74
}